Material: YTaBe3
Method: DFT, GGA-PBE
State: relaxed

abc: 4.3905 4.3905 4.3905
angles: 90.00 90.00 90.00
Each line ends with the local moment (μB).
Fractional positions:
1 Be 0.0000 0.5000 0.0000  0.16
2 Be 0.5000 0.0000 0.0000  0.25
3 Be 0.0000 0.0000 0.5000  0.10
4 Ta 0.5000 0.5000 0.5000  -0.04
5 Y 0.0000 0.0000 0.0000  0.83

## Properties
formation enthalpy at 0 K: 2.007 eV per atom
M_tot: 1.54 Bohr magnetons per cell
excess energy over the best structure of this formula in the dataset: 1194 meV/atom
DOS(E_F): 2.589 states/eV/cell

=====

Material: LaNdRh
Method: DFT, GGA-PBE
State: relaxed

abc: 4.6997 4.6997 9.0474
angles: 108.48 108.48 73.02
Fractional positions:
1 Nd 0.2775 0.2775 0.7973
2 Nd 0.2775 0.2775 0.2973
3 Rh 0.5452 0.5453 0.6637
4 Rh 0.5453 0.5452 0.1637
5 La 0.8006 0.8006 0.5357
6 La 0.8006 0.8006 0.0357

## Properties
formation enthalpy at 0 K: -0.484 eV per atom
M_tot: 0.00 Bohr magnetons per cell
excess energy over the best structure of this formula in the dataset: 35 meV/atom
DOS(E_F): 5.127 states/eV/cell

=====

- The highest M_tot belongs to which entry?
  YTaBe3